Model i:
Y3Ni5: optimized geometry, PBE-GGA.

abc: 5.5189 5.5189 4.6999
angles: 90.00 90.00 105.83
Fractional positions:
Y 0.0000 0.0000 0.0000
Y 0.2967 0.7033 0.5000
Y 0.7033 0.2967 0.5000
Ni 0.0000 0.5000 0.0000
Ni 0.1975 0.1975 0.5000
Ni 0.5000 0.0000 0.0000
Ni 0.5000 0.5000 0.0000
Ni 0.8025 0.8025 0.5000

***

Model ii:
Y3Ni5: optimized geometry, PBE-GGA.

abc: 8.6373 8.6373 4.5118
angles: 90.00 90.00 120.00
Fractional positions:
Y 0.0000 0.3598 0.2500
Y 0.0000 0.6402 0.7500
Y 0.3598 0.0000 0.2500
Y 0.3598 0.3598 0.7500
Y 0.6402 0.0000 0.7500
Y 0.6402 0.6402 0.2500
Ni 0.0000 0.1613 0.7500
Ni 0.0000 0.8387 0.2500
Ni 0.1613 0.0000 0.7500
Ni 0.1613 0.1613 0.2500
Ni 0.3333 0.6667 0.0000
Ni 0.3333 0.6667 0.5000
Ni 0.6667 0.3333 0.0000
Ni 0.6667 0.3333 0.5000
Ni 0.8387 0.0000 0.2500
Ni 0.8387 0.8387 0.7500

***

Most stable to least stable, the ends of the list are model i and model ii.

***

Model i:
Y2Ni7: optimized geometry, PBE-GGA.

abc: 4.9500 4.9500 24.1440
angles: 90.00 90.00 120.00
Fractional positions:
Y 0.3333 0.6667 0.0295
Y 0.3333 0.6667 0.1742
Y 0.3333 0.6667 0.3258
Y 0.3333 0.6667 0.4705
Y 0.6667 0.3333 0.5295
Y 0.6667 0.3333 0.6742
Y 0.6667 0.3333 0.8258
Y 0.6667 0.3333 0.9705
Ni 0.0000 0.0000 0.0000
Ni 0.0000 0.0000 0.1678
Ni 0.0000 0.0000 0.3322
Ni 0.0000 0.0000 0.5000
Ni 0.0000 0.0000 0.6678
Ni 0.0000 0.0000 0.8322
Ni 0.1670 0.3340 0.5858
Ni 0.1668 0.3337 0.7500
Ni 0.1670 0.3340 0.9142
Ni 0.1670 0.8330 0.5858
Ni 0.1668 0.8332 0.7500
Ni 0.1670 0.8330 0.9142
Ni 0.3333 0.6667 0.6675
Ni 0.3333 0.6667 0.8325
Ni 0.3340 0.1670 0.0858
Ni 0.3337 0.1668 0.2500
Ni 0.3340 0.1670 0.4142
Ni 0.6660 0.8330 0.5858
Ni 0.6663 0.8332 0.7500
Ni 0.6660 0.8330 0.9142
Ni 0.6667 0.3333 0.1675
Ni 0.6667 0.3333 0.3325
Ni 0.8330 0.1670 0.0858
Ni 0.8332 0.1668 0.2500
Ni 0.8330 0.1670 0.4142
Ni 0.8330 0.6660 0.0858
Ni 0.8332 0.6663 0.2500
Ni 0.8330 0.6660 0.4142

***

Model ii:
Y2Ni7: optimized geometry, PBE-GGA.

abc: 12.4073 12.4073 12.4073
angles: 23.01 23.01 23.01
Fractional positions:
Y 0.0504 0.0504 0.0504
Y 0.1471 0.1471 0.1471
Y 0.8529 0.8529 0.8529
Y 0.9496 0.9496 0.9496
Ni 0.0000 0.5000 0.5000
Ni 0.1088 0.6098 0.6098
Ni 0.2782 0.2782 0.2782
Ni 0.3882 0.3882 0.3882
Ni 0.3902 0.3902 0.8912
Ni 0.3902 0.8912 0.3902
Ni 0.5000 0.0000 0.5000
Ni 0.5000 0.5000 0.0000
Ni 0.5000 0.5000 0.5000
Ni 0.6098 0.1088 0.6098
Ni 0.6098 0.6098 0.1088
Ni 0.6118 0.6118 0.6118
Ni 0.7218 0.7218 0.7218
Ni 0.8912 0.3902 0.3902

***

Most stable to least stable, the ends of the list are model ii and model i.

***

Model i:
Y4ZnNi: optimized geometry, PBE-GGA.

abc: 9.4557 9.4557 9.4557
angles: 60.00 60.00 60.00
Fractional positions:
Y 0.1859 0.1859 0.8141
Y 0.1859 0.8141 0.1859
Y 0.1859 0.8141 0.8141
Y 0.3973 0.3973 0.3973
Y 0.3973 0.3973 0.8082
Y 0.3973 0.8082 0.3973
Y 0.5587 0.5587 0.9413
Y 0.5587 0.9413 0.5587
Y 0.5587 0.9413 0.9413
Y 0.8082 0.3973 0.3973
Y 0.8141 0.1859 0.1859
Y 0.8141 0.1859 0.8141
Y 0.8141 0.8141 0.1859
Y 0.9413 0.5587 0.5587
Y 0.9413 0.5587 0.9413
Y 0.9413 0.9413 0.5587
Zn 0.1713 0.1713 0.1713
Zn 0.1713 0.1713 0.4861
Zn 0.1713 0.4861 0.1713
Zn 0.4861 0.1713 0.1713
Ni 0.1801 0.6066 0.6066
Ni 0.6066 0.1801 0.6066
Ni 0.6066 0.6066 0.1801
Ni 0.6066 0.6066 0.6066

***

Model ii:
Y4ZnNi: optimized geometry, PBE-GGA.

abc: 4.8391 4.8391 6.9646
angles: 90.07 90.07 90.00
Fractional positions:
Y 0.9997 0.4994 0.2379
Y 0.0003 0.5006 0.7621
Y 0.4994 0.9997 0.2379
Y 0.5006 0.0003 0.7621
Zn 0.0000 0.0000 0.5000
Ni 0.5000 0.5000 0.0000

***

Model iii:
Y4ZnNi: optimized geometry, PBE-GGA.

abc: 6.1308 6.1308 6.1308
angles: 60.00 60.00 60.00
Fractional positions:
Y 0.1253 0.1253 0.1253
Y 0.1253 0.1253 0.6241
Y 0.1253 0.6241 0.1253
Y 0.6241 0.1253 0.1253
Zn 0.7500 0.7500 0.7500
Ni 0.5000 0.5000 0.5000

***

Most stable to least stable, the ends of the list are model i and model iii.

***

Model i:
YZn10Ni2: optimized geometry, PBE-GGA.

abc: 6.7529 6.7529 8.6664
angles: 90.00 90.00 98.74
Fractional positions:
Y 0.1266 0.8734 0.7500
Y 0.8734 0.1266 0.2500
Zn 0.1399 0.4009 0.7500
Zn 0.1525 0.8475 0.0993
Zn 0.1525 0.8475 0.4007
Zn 0.2202 0.4751 0.2500
Zn 0.2274 0.2274 0.0000
Zn 0.2274 0.2274 0.5000
Zn 0.3755 0.6245 0.5438
Zn 0.3755 0.6245 0.9562
Zn 0.4009 0.1399 0.2500
Zn 0.4751 0.2202 0.7500
Zn 0.5249 0.7798 0.2500
Zn 0.5991 0.8601 0.7500
Zn 0.6245 0.3755 0.0438
Zn 0.6245 0.3755 0.4562
Zn 0.7726 0.7726 0.0000
Zn 0.7726 0.7726 0.5000
Zn 0.7798 0.5249 0.7500
Zn 0.8475 0.1525 0.5993
Zn 0.8475 0.1525 0.9007
Zn 0.8601 0.5991 0.2500
Ni 0.0000 0.5000 0.0000
Ni 0.0000 0.5000 0.5000
Ni 0.5000 0.0000 0.0000
Ni 0.5000 0.0000 0.5000

***

Model ii:
YZn10Ni2: optimized geometry, PBE-GGA.

abc: 8.8578 6.7741 6.7176
angles: 82.07 49.24 48.69
Fractional positions:
Y 0.0000 0.0000 0.0000
Zn 0.0000 0.5000 0.0000
Zn 0.0155 0.6527 0.3473
Zn 0.2826 0.5078 0.4922
Zn 0.3473 0.9845 0.0155
Zn 0.4922 0.7174 0.2826
Zn 0.5000 0.0000 0.5000
Zn 0.5078 0.2826 0.7174
Zn 0.6527 0.0155 0.9845
Zn 0.7174 0.4922 0.5078
Zn 0.9845 0.3473 0.6527
Ni 0.0000 0.0000 0.5000
Ni 0.5000 0.5000 0.0000

***

Most stable to least stable, the ends of the list are model i and model ii.

***

Model i:
YZnNi3: optimized geometry, PBE-GGA.

abc: 6.2098 6.2098 6.2098
angles: 133.70 101.56 96.25
Fractional positions:
Y 0.2855 0.0355 0.2500
Y 0.7145 0.9645 0.7500
Zn 0.0000 0.5000 0.5000
Zn 0.5000 0.5000 0.0000
Ni 0.0637 0.3137 0.7500
Ni 0.2536 0.0000 0.7536
Ni 0.2536 0.5000 0.2536
Ni 0.7464 0.0000 0.2464
Ni 0.7464 0.5000 0.7464
Ni 0.9363 0.6863 0.2500

***

Model ii:
YZnNi3: optimized geometry, PBE-GGA.

abc: 4.6925 4.6925 4.6925
angles: 90.00 90.00 90.00
Fractional positions:
Y 0.0000 0.0000 0.0000
Zn 0.5000 0.5000 0.5000
Ni 0.0000 0.0000 0.5000
Ni 0.0000 0.5000 0.0000
Ni 0.5000 0.0000 0.0000

***

Most stable to least stable, the ends of the list are model i and model ii.

***

Model i:
YZnNi3: optimized geometry, PBE-GGA.

abc: 4.3995 4.3995 4.3995
angles: 90.00 90.00 90.00
Fractional positions:
Y 0.0000 0.0000 0.0000
Zn 0.5000 0.5000 0.5000
Ni 0.0000 0.5000 0.5000
Ni 0.5000 0.0000 0.5000
Ni 0.5000 0.5000 0.0000

***

Model ii:
YZnNi3: optimized geometry, PBE-GGA.

abc: 6.1997 6.1997 6.1997
angles: 133.39 114.08 84.56
Fractional positions:
Y 0.0000 0.0000 0.0000
Y 0.5000 0.0000 0.5000
Zn 0.2766 0.5266 0.7500
Zn 0.7234 0.4734 0.2500
Ni 0.1327 0.6962 0.4366
Ni 0.2404 0.3038 0.9366
Ni 0.5000 0.0000 0.0000
Ni 0.5000 0.5000 0.5000
Ni 0.7596 0.6962 0.0634
Ni 0.8673 0.3038 0.5634

***

Most stable to least stable, the ends of the list are model ii and model i.

***

Model i:
YZn2Ni9: optimized geometry, PBE-GGA.

abc: 8.2271 8.2271 8.2271
angles: 34.06 34.06 34.06
Fractional positions:
Y 0.0000 0.0000 0.0000
Zn 0.1446 0.1446 0.1446
Zn 0.8554 0.8554 0.8554
Ni 0.0812 0.5885 0.5885
Ni 0.3342 0.3342 0.3342
Ni 0.4115 0.4115 0.9188
Ni 0.4115 0.9188 0.4115
Ni 0.5000 0.5000 0.5000
Ni 0.5885 0.0812 0.5885
Ni 0.5885 0.5885 0.0812
Ni 0.6658 0.6658 0.6658
Ni 0.9188 0.4115 0.4115

***

Model ii:
YZn2Ni9: optimized geometry, PBE-GGA.

abc: 8.0575 8.0575 4.7362
angles: 90.00 90.00 90.00
Fractional positions:
Y 0.0000 0.0000 0.0000
Y 0.5000 0.5000 0.0000
Zn 0.1180 0.3820 0.0000
Zn 0.3820 0.8820 0.0000
Zn 0.6180 0.1180 0.0000
Zn 0.8820 0.6180 0.0000
Ni 0.0000 0.5000 0.5000
Ni 0.0639 0.2095 0.5000
Ni 0.1786 0.6786 0.2423
Ni 0.1786 0.6786 0.7577
Ni 0.2095 0.9361 0.5000
Ni 0.2905 0.4361 0.5000
Ni 0.3214 0.1786 0.2423
Ni 0.3214 0.1786 0.7577
Ni 0.4361 0.7095 0.5000
Ni 0.5000 0.0000 0.5000
Ni 0.5639 0.2905 0.5000
Ni 0.6786 0.8214 0.2423
Ni 0.6786 0.8214 0.7577
Ni 0.7095 0.5639 0.5000
Ni 0.7905 0.0639 0.5000
Ni 0.8214 0.3214 0.2423
Ni 0.8214 0.3214 0.7577
Ni 0.9361 0.7905 0.5000

***

Most stable to least stable, the ends of the list are model ii and model i.

***

Model i:
YZn3Ni: optimized geometry, PBE-GGA.

abc: 4.5433 4.5433 4.5433
angles: 90.00 90.00 90.00
Fractional positions:
Y 0.0000 0.0000 0.0000
Zn 0.0000 0.5000 0.5000
Zn 0.5000 0.0000 0.5000
Zn 0.5000 0.5000 0.0000
Ni 0.5000 0.5000 0.5000

***

Model ii:
YZn3Ni: optimized geometry, PBE-GGA.

abc: 6.4252 4.0344 6.8765
angles: 90.00 103.96 90.00
Fractional positions:
Y 0.2040 0.2500 0.1826
Y 0.7960 0.7500 0.8174
Zn 0.0826 0.2500 0.6520
Zn 0.3292 0.7500 0.8998
Zn 0.3330 0.7500 0.5251
Zn 0.6670 0.2500 0.4749
Zn 0.6708 0.2500 0.1002
Zn 0.9174 0.7500 0.3480
Ni 0.4733 0.2500 0.7439
Ni 0.5267 0.7500 0.2561

***

Most stable to least stable, the ends of the list are model ii and model i.